# 1
Material: SmErTh3
Method: DFT, PBE
State: relaxed

DFT total energy = -5.92 eV/atom
Calculated formation energy = 0.39 eV/atom
Calculated volume = 35.311 Å³ per atom

```
SmErTh3
1.0
-3.9300 4.0471 -2.0105
-8.1409 -4.1894 7.4799
7.5744 3.2945 0.7457
Er Th Sm
2 6 2
direct
0.3069 0.2500 0.5000
0.6931 0.7500 0.5000
0.3315 0.8315 0.1629
0.6685 0.1685 0.8371
0.0000 0.0000 0.5000
0.3315 0.3315 0.1629
0.6685 0.6685 0.8371
0.0000 0.5000 0.5000
0.5000 0.0000 0.0000
0.0000 0.5000 0.0000
```

=====

# 2
Material: Sm10Er6Th
Method: DFT, PBE
State: relaxed

DFT total energy = -4.67 eV/atom
Calculated formation energy = 0.15 eV/atom
Calculated volume = 33.224 Å³ per atom

```
Sm10Er6Th
1.0
6.9025 0.0000 0.0000
0.0000 8.4180 -4.8602
0.0000 0.0000 9.7203
Sm Th Er
10 1 6
direct
0.1782 0.0000 0.7218
0.5000 0.3333 0.6667
0.1782 0.2782 0.2782
0.5000 0.6667 0.3333
0.8218 0.7218 0.7218
0.8218 0.2782 0.0000
0.1782 0.7218 0.0000
0.0000 0.3333 0.6667
0.0000 0.6667 0.3333
0.8218 0.0000 0.2782
0.5000 0.0000 0.0000
0.6851 0.3666 0.3666
0.3149 0.3666 0.0000
0.3149 0.6334 0.6334
0.6851 0.6334 0.0000
0.3149 0.0000 0.3666
0.6851 0.0000 0.6334
```

=====

# 3
Material: Sm6ErTh
Method: DFT, PBE
State: relaxed

Offset from the most stable computed form = 0.005 eV per atom
DFT total energy = -5.00 eV/atom
Calculated formation energy = 0.04 eV/atom
Calculated volume = 33.119 Å³ per atom

```
Sm6ErTh
1.0
5.1011 0.0000 0.0000
0.0000 5.1011 0.0000
0.0000 0.0000 10.1821
Er Th Sm
1 1 6
direct
0.0000 0.0000 0.0000
0.0000 0.0000 0.5000
0.5000 0.5000 0.0000
0.5000 0.5000 0.5000
0.5000 0.0000 0.7484
0.5000 0.0000 0.2516
0.0000 0.5000 0.7484
0.0000 0.5000 0.2516
```

=====

# 4
Material: SmEr9Th2
Method: DFT, PBE
State: relaxed

Offset from the most stable computed form = 0.073 eV per atom
DFT total energy = -4.95 eV/atom
Calculated formation energy = 0.10 eV/atom
Calculated volume = 31.905 Å³ per atom

```
SmEr9Th2
1.0
-2.3772 -0.6583 -2.4592
-4.2726 -8.2714 6.3443
-3.9597 10.4979 1.0173
Er Sm Th
9 1 2
direct
0.5000 0.1752 0.3503
0.5000 0.3503 0.1752
0.5000 0.6497 0.8248
0.5000 0.1752 0.8248
0.0000 0.5000 0.0000
0.0000 0.5000 0.5000
0.5000 0.8248 0.6497
0.5000 0.8248 0.1752
0.0000 0.0000 0.5000
0.0000 0.0000 0.0000
0.0000 0.3333 0.6667
0.0000 0.6667 0.3333
```

=====

# 5
Material: SmEr4Th
Method: DFT, PBE
State: relaxed

Offset from the most stable computed form = 0.000 eV per atom
DFT total energy = -5.04 eV/atom
Calculated formation energy = 0.03 eV/atom
Calculated volume = 31.366 Å³ per atom

```
SmEr4Th
1.0
3.4307 -0.4046 -0.8284
-1.9332 8.0451 -4.3469
-1.7424 -3.6598 9.8182
Sm Er Th
1 4 1
direct
0.5000 0.0000 0.5000
0.6723 0.3340 0.0055
0.8368 0.6666 0.5046
0.3277 0.6659 0.9944
0.1632 0.3334 0.4954
0.0000 0.0000 0.0000
```

=====

# 6
Material: Sm3Er2Th4
Method: DFT, PBE
State: relaxed

DFT total energy = -5.86 eV/atom
Calculated formation energy = 0.03 eV/atom
Calculated volume = 32.511 Å³ per atom

```
Sm3Er2Th4
1.0
-0.4161 -1.0264 -9.4844
2.7979 0.5526 -9.1130
3.4736 -7.7313 2.8116
Er Sm Th
2 3 4
direct
0.2610 0.2610 0.3302
0.7390 0.7390 0.6698
0.5925 0.5925 0.3345
0.0000 0.0000 0.0000
0.4075 0.4075 0.6656
0.0768 0.0768 0.6693
0.9232 0.9232 0.3307
0.6696 0.6696 0.0009
0.3304 0.3304 0.9991
```

=====

# 7
Material: Sm2ErTh
Method: DFT, PBE
State: relaxed

Offset from the most stable computed form = 0.000 eV per atom
DFT total energy = -5.33 eV/atom
Calculated formation energy = 0.02 eV/atom
Calculated volume = 32.626 Å³ per atom

```
Sm2ErTh
1.0
-3.0107 1.7501 -0.9347
-0.9609 0.2085 -3.4690
-7.3731 -9.1745 -0.3831
Er Sm Th
1 2 1
direct
0.5003 0.5003 0.4990
0.0827 0.0827 0.7520
0.2504 0.2504 0.2488
0.6666 0.6666 0.0002
```

=====

# 8
Material: Sm12Er2Th
Method: DFT, PBE
State: relaxed

DFT total energy = -4.70 eV/atom
Calculated formation energy = 0.18 eV/atom
Calculated volume = 33.934 Å³ per atom

```
Sm12Er2Th
1.0
6.5836 1.5654 0.0000
1.5654 6.5836 0.0000
0.0000 0.0000 24.8950
Sm Er Th
24 4 2
direct
0.2728 0.7728 0.4399
0.7272 0.2272 0.4399
0.7509 0.7491 0.8729
0.0000 0.0000 0.6747
0.0000 0.0000 0.3253
0.5000 0.5000 0.2001
0.0000 0.0000 0.2001
0.2272 0.7272 0.5601
0.2331 0.2669 0.4129
0.7514 0.2514 0.0751
0.7491 0.7509 0.1271
0.7669 0.7331 0.4129
0.7486 0.2486 0.9249
0.2491 0.2509 0.8729
0.7331 0.7669 0.5871
0.2514 0.7514 0.9249
0.5000 0.5000 0.6747
0.5000 0.5000 0.3253
0.5000 0.5000 0.7999
0.2669 0.2331 0.5871
0.7728 0.2728 0.5601
0.2486 0.7486 0.0751
0.2509 0.2491 0.1271
0.0000 0.0000 0.7999
0.0000 0.5000 0.7296
0.5000 0.0000 0.7338
0.0000 0.5000 0.2662
0.5000 0.0000 0.2704
0.0000 0.5000 0.9993
0.5000 0.0000 0.0007
```

=====

# 9
Material: Sm4Er5Th2
Method: DFT, PBE
State: relaxed

Offset from the most stable computed form = 0.187 eV per atom
DFT total energy = -4.88 eV/atom
Calculated formation energy = 0.26 eV/atom
Calculated volume = 33.426 Å³ per atom

```
Sm4Er5Th2
1.0
-3.3682 0.4786 -0.7363
2.1888 -1.7950 -11.1805
-0.9328 -8.3011 7.0987
Sm Th Er
4 2 5
direct
0.5911 0.5911 0.1823
0.0000 0.7327 0.0000
0.4089 0.4089 0.8177
0.0000 0.2673 0.0000
0.2020 0.2020 0.4041
0.7980 0.7980 0.5959
0.1803 0.4717 0.3606
0.8197 0.5283 0.6394
0.1803 0.8890 0.3606
0.5000 0.0000 0.0000
0.8197 0.1110 0.6394
```

=====

# 10
Material: Sm4Er7Th
Method: DFT, PBE
State: relaxed

Offset from the most stable computed form = 0.000 eV per atom
DFT total energy = -4.83 eV/atom
Calculated formation energy = 0.02 eV/atom
Calculated volume = 31.695 Å³ per atom

```
Sm4Er7Th
1.0
-5.7346 4.0012 1.1650
-6.7278 -2.2783 -3.5823
-9.8338 -0.3396 6.3989
Er Sm Th
7 4 1
direct
0.5000 0.0000 0.0000
0.9994 0.3301 0.6698
0.7527 0.1642 0.3290
0.2473 0.8358 0.6710
0.7526 0.4957 0.9996
0.0006 0.6699 0.3302
0.2474 0.5043 0.0004
0.4954 0.3302 0.6687
0.7418 0.8335 0.6707
0.5046 0.6698 0.3313
0.2582 0.1665 0.3293
0.0000 0.0000 0.0000
```

=====

# 11
Material: Sm2Er4Th
Method: DFT, PBE
State: relaxed

Offset from the most stable computed form = 0.000 eV per atom
DFT total energy = -4.99 eV/atom
Calculated formation energy = 0.02 eV/atom
Calculated volume = 31.941 Å³ per atom

```
Sm2Er4Th
1.0
-3.0037 -1.0455 1.6635
2.8530 -2.1746 -0.0874
5.7600 9.8688 16.6033
Er Sm Th
4 2 1
direct
0.4284 0.8568 0.5248
0.5239 0.0479 0.8115
0.9050 0.8101 0.9504
0.0010 0.0019 0.2380
0.6198 0.2396 0.0942
0.7141 0.4282 0.3808
0.8092 0.6183 0.6683
```

=====

# 12
Material: SmEr2Th
Method: DFT, PBE
State: relaxed

Offset from the most stable computed form = 0.135 eV per atom
DFT total energy = -5.19 eV/atom
Calculated formation energy = 0.13 eV/atom
Calculated volume = 32.110 Å³ per atom

```
SmEr2Th
1.0
-4.5963 -2.2720 2.4053
-2.6981 -4.2850 -2.5362
0.2436 -5.2067 2.2147
Er Sm Th
2 1 1
direct
0.7500 0.7500 0.7500
0.2500 0.2500 0.2500
0.5000 0.5000 0.5000
0.0000 0.0000 0.0000
```

=====

# 13
Material: SmEr9Th2
Method: DFT, PBE
State: relaxed

Offset from the most stable computed form = 0.000 eV per atom
DFT total energy = -5.02 eV/atom
Calculated formation energy = 0.03 eV/atom
Calculated volume = 31.072 Å³ per atom

```
SmEr9Th2
1.0
-1.3398 2.8401 3.8766
-2.0895 -3.9684 2.1853
12.9951 -3.1132 6.7720
Er Th Sm
9 2 1
direct
0.5000 0.0000 0.5000
0.5000 0.0000 0.1691
0.0000 0.5000 0.5000
0.0000 0.5000 0.1691
0.5000 0.5000 0.0000
0.0000 0.5000 0.8309
0.5000 0.5000 0.6665
0.5000 0.5000 0.3335
0.5000 0.0000 0.8309
0.0000 0.0000 0.3342
0.0000 0.0000 0.6658
0.0000 0.0000 0.0000
```

=====

# 14
Material: Sm3Er2Th
Method: DFT, PBE
State: relaxed

Offset from the most stable computed form = 0.000 eV per atom
DFT total energy = -4.88 eV/atom
Calculated formation energy = 0.24 eV/atom
Calculated volume = 33.549 Å³ per atom

```
Sm3Er2Th
1.0
6.8498 0.0000 0.0000
0.0000 7.2217 2.9612
0.0000 -0.9565 7.7464
Sm Er Th
6 4 2
direct
0.5778 0.5548 0.2188
0.0778 0.4452 0.7812
0.3234 0.8593 0.8593
0.8234 0.1407 0.1407
0.5778 0.2188 0.5548
0.0778 0.7812 0.4452
0.0744 0.5175 0.1746
0.5744 0.4825 0.8254
0.5744 0.8254 0.4825
0.0744 0.1746 0.5175
0.8300 0.8519 0.8519
0.3300 0.1481 0.1481
```

=====

# 15
Material: Sm3Er8Th
Method: DFT, PBE
State: relaxed

DFT total energy = -4.53 eV/atom
Calculated formation energy = 0.31 eV/atom
Calculated volume = 34.261 Å³ per atom

```
Sm3Er8Th
1.0
3.2861 -7.8603 1.4892
4.2684 4.1858 6.2498
-7.6569 3.9142 0.9039
Er Sm Th
8 3 1
direct
0.9951 0.7478 0.2474
0.8284 0.5800 0.7510
0.1712 0.4200 0.2486
0.0049 0.2524 0.7527
0.5004 0.7477 0.7526
0.4997 0.2522 0.2473
0.8290 0.0774 0.2490
0.1714 0.9226 0.7514
0.5000 0.2418 0.7418
0.0000 0.5000 0.5000
0.5000 0.7582 0.2582
0.0000 0.0000 0.0000
```

=====

# 16
Material: SmEr2Th3
Method: DFT, PBE
State: relaxed

DFT total energy = -5.97 eV/atom
Calculated formation energy = 0.05 eV/atom
Calculated volume = 32.000 Å³ per atom

```
SmEr2Th3
1.0
-4.7725 -2.5746 2.9909
0.5510 -5.7753 -4.0923
5.2607 -0.6583 7.7958
Er Th Sm
4 6 2
direct
0.4170 0.0427 0.3378
0.0830 0.7049 0.6622
0.9170 0.2951 0.3378
0.5830 0.9573 0.6622
0.4179 0.5461 0.3329
0.0821 0.2132 0.6671
0.5821 0.4539 0.6671
0.7500 0.3794 0.0000
0.9179 0.7868 0.3329
0.2500 0.6206 0.0000
0.7500 0.8695 0.0000
0.2500 0.1305 0.0000
```

=====

# 17
Material: Sm2ErTh
Method: DFT, PBE
State: relaxed

Offset from the most stable computed form = 0.002 eV per atom
DFT total energy = -5.33 eV/atom
Calculated formation energy = 0.02 eV/atom
Calculated volume = 32.654 Å³ per atom

```
Sm2ErTh
1.0
3.4221 1.0457 -0.1103
1.4223 7.7859 1.2730
-0.1267 1.5747 10.6776
Sm Er Th
4 2 2
direct
0.7537 0.7443 0.0000
0.1288 0.8719 0.2562
0.2463 0.2557 0.0000
0.8712 0.1281 0.7438
0.3702 0.6296 0.7410
0.6298 0.3704 0.2590
0.0000 0.5000 0.5000
0.5000 0.0000 0.5000
```

=====

# 18
Material: SmEr10Th4
Method: DFT, PBE
State: relaxed

DFT total energy = -5.03 eV/atom
Calculated formation energy = 0.30 eV/atom
Calculated volume = 32.645 Å³ per atom

```
SmEr10Th4
1.0
7.0359 0.0000 3.1770
3.5180 7.9643 1.5885
0.2404 0.0000 8.8471
Er Th Sm
10 4 1
direct
0.0831 0.2090 0.2089
0.9169 0.7910 0.7911
0.5010 0.7910 0.7911
0.4990 0.2090 0.2089
0.2500 0.5000 0.5000
0.7500 0.5000 0.5000
0.2921 0.2089 0.7910
0.7079 0.2089 0.7910
0.7079 0.7911 0.2090
0.2921 0.7911 0.2090
0.2285 0.5429 0.0001
0.2286 0.9999 0.5429
0.7715 0.4571 0.9999
0.7714 0.0001 0.4571
0.0000 0.0000 0.0000
```

=====

# 19
Material: Sm8Er2Th
Method: DFT, PBE
State: relaxed

Offset from the most stable computed form = 0.159 eV per atom
DFT total energy = -4.75 eV/atom
Calculated formation energy = 0.19 eV/atom
Calculated volume = 34.311 Å³ per atom

```
Sm8Er2Th
1.0
-1.2091 -5.0862 2.1157
0.9515 -3.5108 -9.6159
7.1155 -3.6612 -6.4546
Sm Er Th
8 2 1
direct
0.2255 0.1854 0.1854
0.2717 0.6049 0.1323
0.7657 0.4539 0.4539
0.7745 0.8146 0.8146
0.2717 0.1323 0.6049
0.2343 0.5461 0.5461
0.7283 0.3951 0.8677
0.7283 0.8677 0.3951
0.2547 0.7169 0.7169
0.7453 0.2831 0.2831
0.0000 0.0000 0.0000
```

=====

# 20
Material: Sm4Er3Th
Method: DFT, PBE
State: relaxed

Offset from the most stable computed form = 0.000 eV per atom
DFT total energy = -4.96 eV/atom
Calculated formation energy = 0.04 eV/atom
Calculated volume = 32.781 Å³ per atom

```
Sm4Er3Th
1.0
-5.8722 -1.5869 1.5264
2.5579 -5.0846 4.5541
0.1340 7.6915 8.5122
Th Sm Er
2 8 6
direct
0.1475 0.3797 0.0000
0.6475 0.6203 0.5000
0.9895 0.1288 0.7506
0.4895 0.8712 0.2506
0.6427 0.1318 0.5000
0.9895 0.1288 0.2494
0.6471 0.1335 0.0000
0.1427 0.8682 0.0000
0.1471 0.8665 0.5000
0.4895 0.8712 0.7494
0.4749 0.3818 0.2500
0.9749 0.6182 0.7500
0.6492 0.6196 0.0000
0.4749 0.3818 0.7500
0.1492 0.3804 0.5000
0.9749 0.6182 0.2500
```